Entry 1:
VASP calculation (PBEsol) on an optimized crystal structure of V3CoH.

```
data_V3CoH
_chemical_formula_sum 'V3 Co1 H1'
_cell_length_a 3.709
_cell_length_b 3.709
_cell_length_c 3.709
_cell_angle_alpha 90.00
_cell_angle_beta 90.00
_cell_angle_gamma 90.00
_symmetry_space_group_name_H-M 'P m -3 m'
_symmetry_Int_Tables_number 221
_symmetry_space_group_name_Hall '-P 4 2 3'
loop_
_atom_site_label
_atom_site_type_symbol
_atom_site_fract_x
_atom_site_fract_y
_atom_site_fract_z
V1 V 0.000 0.000 0.500
Co1 Co 0.500 0.500 0.500
H1 H 0.000 0.000 0.000
```

Properties
Total energy   -8.0266 eV/atom


Entry 2:
VASP calculation (PBEsol) on an optimized crystal structure of Ca2LaRe.

```
data_Ca2LaRe
_chemical_formula_sum 'Ca8 La4 Re4'
_cell_length_a 7.336
_cell_length_b 7.336
_cell_length_c 7.336
_cell_angle_alpha 90.00
_cell_angle_beta 90.00
_cell_angle_gamma 90.00
_symmetry_space_group_name_H-M 'F m -3 m'
_symmetry_Int_Tables_number 225
_symmetry_space_group_name_Hall '-F 4 2 3'
loop_
_atom_site_label
_atom_site_type_symbol
_atom_site_fract_x
_atom_site_fract_y
_atom_site_fract_z
Ca1 Ca 0.250 0.250 0.250
La1 La 0.000 0.000 0.000
Re1 Re 0.000 0.000 0.500
```

Properties
Total energy   -4.9719 eV/atom
Excess energy over the best structure of this formula in the dataset   120 meV/atom
Energy of formation from the pure elements   764 meV/atom


Entry 3:
VASP calculation (PBEsol) on an optimized crystal structure of MnNiIr2.

```
data_MnNiIr2
_chemical_formula_sum 'Mn1 Ni1 Ir2'
_cell_length_a 4.440
_cell_length_b 2.681
_cell_length_c 4.586
_cell_angle_alpha 90.00
_cell_angle_beta 109.82
_cell_angle_gamma 90.00
_symmetry_space_group_name_H-M 'P 1 2/m 1'
_symmetry_Int_Tables_number 10
_symmetry_space_group_name_Hall '-P 2y'
loop_
_atom_site_label
_atom_site_type_symbol
_atom_site_fract_x
_atom_site_fract_y
_atom_site_fract_z
Mn1 Mn 0.000 0.000 0.000
Ni1 Ni 0.000 0.500 0.500
Ir1 Ir 0.500 0.000 0.500
Ir2 Ir 0.500 0.500 0.000
```

Properties
Total energy   -8.9359 eV/atom
Energy of formation from the pure elements   -45 meV/atom


total energy of number 3 (MnNiIr2)?
-8.9359 eV/atom


Among the records above, which one has the highest total energy?
Ca2LaRe


Number 3 is which compound?
MnNiIr2


Look up the total energy of the first one.
-8.0266 eV/atom